Entry from Alexandria via LeMat-Bulk: an optimized crystal structure of WC2 (PBE-GGA). Values from VASP.

Summary:
Excess energy over the best structure of this formula in the dataset = 918 meV/atom
Space group = No. 141
Crystal system = tetragonal

Geometry as Quantum ESPRESSO input:
```
&SYSTEM
  ibrav = 0, nat = 12, ntyp = 2
/
ATOMIC_SPECIES
W 183.84 W.upf
C 12.01 C.upf
CELL_PARAMETERS angstrom
2.6825 0.0000 0.0000
0.0000 2.6825 0.0000
0.0000 0.0000 14.7199
ATOMIC_POSITIONS crystal
W 0.0000 0.2500 0.3750
W 0.0000 0.7500 0.6250
W 0.5000 0.2500 0.1250
W 0.5000 0.7500 0.8750
C 0.0000 0.2500 0.7791
C 0.0000 0.2500 0.9709
C 0.0000 0.7500 0.0291
C 0.0000 0.7500 0.2209
C 0.5000 0.2500 0.5291
C 0.5000 0.2500 0.7209
C 0.5000 0.7500 0.2791
C 0.5000 0.7500 0.4709
```



Entry from Alexandria via LeMat-Bulk: an optimized crystal structure of Li2AcCeGe2 (PBE-GGA). Values from VASP.

Summary:
Uncorrected energy = -26.6 eV for the cell shown
Space group = No. 164
Crystal system = trigonal

Geometry as Quantum ESPRESSO input:
```
&SYSTEM
  ibrav = 0, nat = 6, ntyp = 4
/
ATOMIC_SPECIES
Li 6.94 Li.upf
Ac 227.00 Ac.upf
Ce 140.12 Ce.upf
Ge 72.64 Ge.upf
CELL_PARAMETERS angstrom
4.5920 0.0000 0.0000
-2.2960 3.9768 0.0000
0.0000 0.0000 7.7278
ATOMIC_POSITIONS crystal
Li 0.3333 0.6667 0.2030
Li 0.6667 0.3333 0.7970
Ac 0.0000 0.0000 0.5000
Ce 0.0000 0.0000 0.0000
Ge 0.3333 0.6667 0.7798
Ge 0.6667 0.3333 0.2202
```



Entry from Alexandria via LeMat-Bulk: an optimized crystal structure of La2Zn3Pt4Pb (PBE-GGA). Values from VASP.

Summary:
Uncorrected energy = -48.8 eV for the cell shown
Space group = No. 115
Crystal system = tetragonal

Geometry as Quantum ESPRESSO input:
```
&SYSTEM
  ibrav = 0, nat = 10, ntyp = 4
/
ATOMIC_SPECIES
La 138.91 La.upf
Zn 65.41 Zn.upf
Pt 195.08 Pt.upf
Pb 207.20 Pb.upf
CELL_PARAMETERS angstrom
4.2331 0.0000 0.0000
0.0000 4.2331 0.0000
0.0000 0.0000 11.6206
ATOMIC_POSITIONS crystal
La 0.0000 0.5000 0.2343
La 0.5000 0.0000 0.7657
Zn 0.0000 0.5000 0.8771
Zn 0.5000 0.0000 0.1229
Zn 0.5000 0.5000 0.5000
Pt 0.0000 0.0000 0.0000
Pt 0.0000 0.5000 0.6623
Pt 0.5000 0.0000 0.3377
Pt 0.5000 0.5000 0.0000
Pb 0.0000 0.0000 0.5000
```



Entry from Alexandria via LeMat-Bulk: an optimized crystal structure of Sr5AgRh (PBE-GGA). Values from VASP.

Summary:
Uncorrected energy = -39.5 eV for the cell shown
Space group = No. 11
Crystal system = monoclinic

Geometry as Quantum ESPRESSO input:
```
&SYSTEM
  ibrav = 0, nat = 14, ntyp = 3
/
ATOMIC_SPECIES
Sr 87.62 Sr.upf
Ag 107.87 Ag.upf
Rh 102.91 Rh.upf
CELL_PARAMETERS angstrom
8.5722 0.0000 0.0000
0.0000 4.5903 0.0000
-0.6921 0.0000 14.0890
ATOMIC_POSITIONS crystal
Sr 0.0674 0.2500 0.1595
Sr 0.1515 0.7500 0.5712
Sr 0.3331 0.7500 0.0192
Sr 0.3493 0.2500 0.7843
Sr 0.3609 0.2500 0.3648
Sr 0.6391 0.7500 0.6352
Sr 0.6507 0.7500 0.2157
Sr 0.6669 0.2500 0.9808
Sr 0.8485 0.2500 0.4288
Sr 0.9326 0.7500 0.8405
Ag 0.0599 0.7500 0.3342
Ag 0.9401 0.2500 0.6658
Rh 0.4390 0.2500 0.1522
Rh 0.5610 0.7500 0.8478
```



Entry from Alexandria via LeMat-Bulk: an optimized crystal structure of Ta2FeNi (PBE-GGA). Values from VASP.

Summary:
Uncorrected energy = -77.4 eV for the cell shown
Space group = No. 38
Crystal system = orthorhombic

Geometry as Quantum ESPRESSO input:
```
&SYSTEM
  ibrav = 0, nat = 8, ntyp = 3
/
ATOMIC_SPECIES
Ta 180.95 Ta.upf
Fe 55.84 Fe.upf
Ni 58.69 Ni.upf
CELL_PARAMETERS angstrom
4.0761 0.0000 0.0000
0.0000 2.9806 0.0000
0.0000 0.0000 9.5631
ATOMIC_POSITIONS crystal
Ta 0.0000 0.0000 0.0000
Ta 0.0000 0.5000 0.5000
Ta 0.5000 0.0000 0.2899
Ta 0.5000 0.5000 0.7899
Fe 0.5000 0.0000 0.5508
Fe 0.5000 0.5000 0.0508
Ni 0.0000 0.0000 0.7264
Ni 0.0000 0.5000 0.2264
```



Entry from Alexandria via LeMat-Bulk: an optimized crystal structure of TaTiCu (PBE-GGA). Values from VASP.

Summary:
Excess energy over the best structure of this formula in the dataset = 0 meV/atom
Space group = No. 129
Crystal system = tetragonal

Geometry as Quantum ESPRESSO input:
```
&SYSTEM
  ibrav = 0, nat = 6, ntyp = 3
/
ATOMIC_SPECIES
Ta 180.95 Ta.upf
Ti 47.87 Ti.upf
Cu 63.55 Cu.upf
CELL_PARAMETERS angstrom
3.2271 0.0000 0.0000
0.0000 3.2271 0.0000
0.0000 0.0000 9.0886
ATOMIC_POSITIONS crystal
Ta 0.2500 0.2500 0.0908
Ta 0.7500 0.7500 0.9092
Ti 0.2500 0.2500 0.7264
Ti 0.7500 0.7500 0.2736
Cu 0.2500 0.2500 0.4294
Cu 0.7500 0.7500 0.5706
```



Entry from Alexandria via LeMat-Bulk: an optimized crystal structure of GaAg3 (PBE-GGA). Values from VASP.

Summary:
Uncorrected energy = -23.3 eV for the cell shown
Space group = No. 44
Crystal system = orthorhombic

Geometry as Quantum ESPRESSO input:
```
&SYSTEM
  ibrav = 0, nat = 8, ntyp = 2
/
ATOMIC_SPECIES
Ga 69.72 Ga.upf
Ag 107.87 Ag.upf
CELL_PARAMETERS angstrom
2.9342 0.0000 0.0000
0.0000 9.3522 0.0000
0.0000 0.0000 5.1178
ATOMIC_POSITIONS crystal
Ga 0.0000 0.0000 0.0000
Ga 0.5000 0.5000 0.5000
Ag 0.0000 0.2545 0.6718
Ag 0.0000 0.5000 0.0086
Ag 0.0000 0.7455 0.6718
Ag 0.5000 0.0000 0.5086
Ag 0.5000 0.2455 0.1718
Ag 0.5000 0.7545 0.1718
```



Entry from Alexandria via LeMat-Bulk: an optimized crystal structure of MnAg2Ir (PBE-GGA). Values from VASP.

Summary:
Excess energy over the best structure of this formula in the dataset = 0 meV/atom
Space group = No. 99
Crystal system = tetragonal

Geometry as Quantum ESPRESSO input:
```
&SYSTEM
  ibrav = 0, nat = 4, ntyp = 3
/
ATOMIC_SPECIES
Mn 54.94 Mn.upf
Ag 107.87 Ag.upf
Ir 192.22 Ir.upf
CELL_PARAMETERS angstrom
2.8581 0.0000 0.0000
0.0000 2.8581 0.0000
0.0000 0.0000 7.8831
ATOMIC_POSITIONS crystal
Mn 0.0000 0.0000 0.0000
Ag 0.0000 0.0000 0.5334
Ag 0.5000 0.5000 0.2588
Ir 0.5000 0.5000 0.8022
```



How do the records compare in total magnetization? In the order shown, they have 0.00 0.70 0.00 0.00 0.00 0.00 0.00 3.58 μB/cell.